# PBE LiTb2GaSe5, optimized geometry
data_LiTb2GaSe5
_chemical_formula_sum 'Li2 Tb4 Ga2 Se10'
_cell_length_a 9.0554
_cell_length_b 9.0554
_cell_length_c 11.7790
_cell_angle_alpha 90.00
_cell_angle_beta 90.00
_cell_angle_gamma 154.85
_space_group_name_H-M_alt 'P 1'
_space_group_IT_number 1
_space_group_name_Hall 'P 1'
loop_
_atom_site_label
_atom_site_fract_x
_atom_site_fract_y
_atom_site_fract_z
Li1 0.2121 0.7879 0.5000
Li2 0.7879 0.2121 0.0000
Tb1 0.1211 0.8789 0.1610
Tb2 0.1331 0.8669 0.7853
Tb3 0.8669 0.1331 0.2853
Tb4 0.8789 0.1211 0.6610
Ga1 0.4308 0.5692 0.9369
Ga2 0.5692 0.4308 0.4369
Se1 0.0429 0.9571 0.5527
Se2 0.2912 0.7088 0.1509
Se3 0.3145 0.6855 0.8271
Se4 0.3571 0.6429 0.4796
Se5 0.4987 0.5013 0.2605
Se6 0.5013 0.4987 0.7605
Se7 0.6429 0.3571 0.9796
Se8 0.6855 0.3145 0.3271
Se9 0.7088 0.2912 0.6509
Se10 0.9571 0.0429 0.0527
# Raw formation energy, eV per atom: -1.394
# Space group: Cmc2_1, No. 36
# Raw total energy, eV/cell: -88.34
# Size of the total moment, μB per atom: 0.00